A relaxed Sr2Tl2Pb crystal. Source: the Alexandria database, functional PBEsol.

a = 4.9798 Å, b = 8.1032 Å, c = 8.1032 Å
α = 90.00°, β = 90.00°, γ = 90.00°
Last column: nearest neighbours and their distance in Å.
Atoms (fractional coordinates):
Tl: 0.0000 0.1299 0.3701  1 Tl 2.98, 2 Pb 3.18
Tl: 0.0000 0.6299 0.1299  1 Tl 2.98, 2 Pb 3.18
Tl: 0.0000 0.8701 0.6299  1 Tl 2.98, 2 Pb 3.18
Tl: 0.0000 0.3701 0.8701  1 Tl 2.98, 2 Pb 3.18
Sr: 0.5000 0.3256 0.1744  6 Tl 3.35-3.52
Sr: 0.5000 0.1744 0.6744  6 Tl 3.35-3.52
Sr: 0.5000 0.8256 0.3256  6 Tl 3.35-3.52
Sr: 0.5000 0.6744 0.8256  6 Tl 3.35-3.52
Pb: 0.0000 0.0000 0.0000  4 Tl 3.18
Pb: 0.0000 0.5000 0.5000  4 Tl 3.18

Theoretical density   8.04 g/cm3
Formation energy from the elements   -1.970 eV per formula unit
Fermi-level density of states   3.49 states/eV/f.u.
SG   No. 127

---

A relaxed CrHgAs2 crystal. Source: the Alexandria database, functional PBEsol.

a = 4.1590 Å, b = 4.1590 Å, c = 5.1272 Å
α = 113.93°, β = 113.93°, γ = 90.00°
Last column: nearest neighbours and their distance in Å.
Atoms (fractional coordinates):
Hg: 0.0000 0.0000 0.0000  4 Cr 2.94, 8 As 2.96
Cr: 0.5000 0.5000 0.0000  4 Hg 2.94, 8 As 2.96
As: 0.7500 0.2500 0.5000  4 As 2.94, 4 Hg 2.96, 4 Cr 2.96
As: 0.2500 0.7500 0.5000  4 As 2.94, 4 Hg 2.96, 4 Cr 2.96

Theoretical density   9.20 g/cm3
Formation energy from the elements   1.498 eV per formula unit
Fermi-level density of states   1.62 states/eV/f.u.
SG   No. 139

---

| no. | magnetic moment (μB per formula unit) |
| --- | --- |
| 1 | 0.000 |
| 2 | 3.404 |